--- A ---
Material: GeOsS2Cl
Method: DFT, PBE
State: relaxed

DOS(E_F) = 5.86 states/eV/f.u.

Cell lengths 4.611, 4.611, 4.860 Å; angles 90.00, 90.00, 90.00 degrees
Space group P4/mmm (No. 123)
Inequivalent atoms, fractional coordinates:
Ge (0.000, 0.000, 0.000) (multiplicity 1)
Os (0.500, 0.500, 0.500) (multiplicity 1)
S (0.000, 0.500, 0.500) (multiplicity 2)
Cl (0.500, 0.500, 0.000) (multiplicity 1)

--- B ---
Material: GeOsS2Cl
Method: DFT, PBE
State: relaxed

DOS(E_F) = 4.38 states/eV/f.u.

Cell lengths 4.755, 4.755, 4.706 Å; angles 90.00, 90.00, 90.00 degrees
Space group P4/mmm (No. 123)
Inequivalent atoms, fractional coordinates:
Ge (0.000, 0.000, 0.000) (multiplicity 1)
Os (0.500, 0.500, 0.500) (multiplicity 1)
S (0.000, 0.500, 0.000) (multiplicity 2)
Cl (0.000, 0.000, 0.500) (multiplicity 1)

Ordering by calculated energy gives the sequence A, B, with the first entry being the most stable.

--- A ---
Material: GePCl2
Method: DFT, PBE
State: relaxed

DOS(E_F) = 4.17 states/eV/f.u.

Cell lengths 6.910, 6.910, 6.910 Å; angles 90.00, 90.00, 90.00 degrees
Space group Fm-3m (No. 225)
Inequivalent atoms, fractional coordinates:
Ge (0.000, 0.000, 0.000) (multiplicity 4)
P (0.000, 0.000, 0.500) (multiplicity 4)
Cl (0.250, 0.250, 0.250) (multiplicity 8)

--- B ---
Material: GePCl2
Method: DFT, PBE
State: relaxed

DOS(E_F) = 2.42 states/eV/f.u.

Cell lengths 7.513, 7.513, 6.102 Å; angles 90.00, 90.00, 90.00 degrees
Space group I-42d (No. 122)
Inequivalent atoms, fractional coordinates:
Ge (0.000, 0.000, 0.000) (multiplicity 4)
P (0.000, 0.000, 0.500) (multiplicity 4)
Cl (0.244, 0.250, 0.625) (multiplicity 8)

Ordering by calculated energy gives the sequence B, A, with the first entry being the most stable.

--- A ---
Material: Ge2PCl
Method: DFT, PBE
State: relaxed

DOS(E_F) = 1.00 states/eV/f.u.

Cell lengths 7.087, 7.087, 7.518 Å; angles 90.00, 90.00, 90.00 degrees
Space group I-42d (No. 122)
Inequivalent atoms, fractional coordinates:
Ge (0.206, 0.750, 0.125) (multiplicity 8)
P (0.000, 0.000, 0.000) (multiplicity 4)
Cl (0.000, 0.000, 0.500) (multiplicity 4)

--- B ---
Material: Ge2PCl
Method: DFT, PBE
State: relaxed

DOS(E_F) = 1.21 states/eV/f.u.

Cell lengths 6.714, 6.714, 6.714 Å; angles 90.00, 90.00, 90.00 degrees
Space group Fm-3m (No. 225)
Inequivalent atoms, fractional coordinates:
Ge (0.250, 0.250, 0.250) (multiplicity 8)
P (0.000, 0.000, 0.000) (multiplicity 4)
Cl (0.000, 0.000, 0.500) (multiplicity 4)

Ordering by calculated energy gives the sequence A, B, with the first entry being the most stable.

--- A ---
Material: ReGeP2Cl
Method: DFT, PBE
State: relaxed

DOS(E_F) = 2.49 states/eV/f.u.

Cell lengths 4.732, 4.732, 4.584 Å; angles 90.00, 90.00, 90.00 degrees
Space group P4/mmm (No. 123)
Inequivalent atoms, fractional coordinates:
Re (0.000, 0.000, 0.000) (multiplicity 1)
Ge (0.500, 0.500, 0.500) (multiplicity 1)
P (0.000, 0.500, 0.500) (multiplicity 2)
Cl (0.500, 0.500, 0.000) (multiplicity 1)

--- B ---
Material: ReGeP2Cl
Method: DFT, PBE
State: relaxed

DOS(E_F) = 3.96 states/eV/f.u.

Cell lengths 4.568, 4.568, 5.174 Å; angles 90.00, 90.00, 90.00 degrees
Space group P4/mmm (No. 123)
Inequivalent atoms, fractional coordinates:
Re (0.000, 0.000, 0.000) (multiplicity 1)
Ge (0.500, 0.500, 0.500) (multiplicity 1)
P (0.000, 0.500, 0.000) (multiplicity 2)
Cl (0.000, 0.000, 0.500) (multiplicity 1)

Ordering by calculated energy gives the sequence B, A, with the first entry being the most stable.